(1)
TlSnO4, relaxed, DFT GGA-PBE; E_form (uncorrected) = -702 meV/atom; DFT total energy = -5.069 eV per atom; volume = 208.6 Å³/cell; calculated density = 6.2 Mg/m³
1.0
-0.9704 -5.6737 1.1116
5.1893 -2.5041 -1.0807
1.6641 0.8810 5.9491
O Sn Tl
8 2 2
Cartesian
0.8010 -4.8315 2.1277
3.6152 -4.8368 3.1645
2.2679 -2.4600 2.8155
1.5309 -2.8502 0.1808
5.0820 -2.4653 3.8523
4.3116 -3.0251 0.8782
4.3521 -4.4467 5.7992
1.5715 -4.2717 5.1018
2.6435 -4.0973 1.5036
3.2396 -3.1996 4.4764
4.7721 -6.1700 4.4876
1.1110 -1.1269 1.4924

=====

(2)
BiRhCl2, relaxed, DFT GGA-PBE; E_form (uncorrected) = 262 meV/atom; DFT total energy = -3.469 eV per atom; energy relative to the lowest polymorph listed for this composition = 315 meV/atom; volume = 80.5 Å³/cell; calculated density = 7.9 Mg/m³
1.0
-0.5930 3.3129 3.4877
-3.1863 3.6031 -0.5966
-4.0888 0.0748 2.6014
Cl Rh Bi
2 1 1
Cartesian
-5.9010 5.2431 4.1194
-1.9670 1.7477 1.3731
0.0000 0.0000 0.0000
-3.9340 3.4954 2.7463

=====

(3)
MgTiFePt, relaxed, DFT GGA-PBE; DFT total energy = -6.475 eV per atom; volume = 57.5 Å³/cell; calculated density = 9.3 Mg/m³
1.0
4.3322 0.0000 0.0000
2.1661 3.7518 0.0000
2.1661 1.2506 3.5372
Ti Mg Fe Pt
1 1 1 1
Cartesian
2.1661 1.2506 0.8843
6.4983 3.7518 2.6529
0.0000 0.0000 0.0000
4.3322 2.5012 1.7686

=====

(4)
Mo2AsW, relaxed, DFT GGA-PBE; DFT total energy = -9.688 eV per atom; volume = 63.0 Å³/cell; calculated density = 11.9 Mg/m³
1.0
3.1922 0.0000 0.0000
0.0000 3.1922 0.0000
0.0000 0.0000 6.1783
W Mo As
1 2 1
Cartesian
1.5961 1.5961 1.5446
0.0000 0.0000 3.1176
0.0000 0.0000 6.1499
1.5961 1.5961 4.6338

=====

(5)
ScBi2Sb, relaxed, DFT GGA-PBE; E_form (uncorrected) = 90 meV/atom; DFT total energy = -4.464 eV per atom; volume = 329.0 Å³/cell; calculated density = 5.9 Mg/m³
1.0
-2.2350 6.0793 1.8513
-4.4168 -2.8970 4.1809
1.5919 1.7776 8.3406
Bi Sb Sc
4 2 2
Cartesian
-4.5428 4.1725 11.4545
-1.5087 3.7668 3.7298
-2.6842 -0.4913 4.9646
-1.3840 2.4718 8.5966
0.0000 0.0000 0.0000
-1.9845 4.7240 6.6040
-3.0754 0.2359 7.7688
-3.3259 1.5911 3.0161

=====

(6)
Ga3PbSe, relaxed, DFT GGA-PBE; E_form (uncorrected) = 342 meV/atom; DFT total energy = -2.913 eV per atom; energy relative to the lowest polymorph listed for this composition = 0 meV/atom; volume = 139.0 Å³/cell; calculated density = 5.9 Mg/m³
1.0
-4.3294 2.3087 1.6597
-2.6861 -4.3125 -1.0079
0.9326 -1.7032 4.8019
Ga Pb Se
3 1 1
Cartesian
-2.1647 1.1544 0.8299
0.4663 -0.8516 2.4009
-1.3431 -2.1562 -0.5040
-3.0415 -1.8535 2.7268
0.0000 0.0000 0.0000